Entry 1:
VASP calculation (GGA-PBE) on an optimized crystal structure of Li2YTc.

Calculated values
DFT total energy: -19.1 eV per cell
formation energy: 0.40 eV per atom
symmetry: No. 225

Lattice parameters (Å, degrees): 4.615 4.615 4.615 60.00 60.00 60.00
Last column: magnetic moment on the atom in μB.
Fractional coordinates of all 4 atoms:
Li 0.250 0.250 0.250  -0.03
Li 0.750 0.750 0.750  -0.03
Y 0.000 0.000 0.000  -0.17
Tc 0.500 0.500 0.500  1.11

Entry 2:
VASP calculation (GGA-PBE) on an optimized crystal structure of Li2YTc.

Calculated values
DFT total energy: -19.2 eV per cell
formation energy: 0.36 eV per atom
symmetry: No. 12

Lattice parameters (Å, degrees): 4.776 5.955 3.074 77.40 84.28 112.04
Fractional coordinates of all 4 atoms:
Li 0.500 0.000 0.500
Li 0.000 0.000 0.000
Tc 0.000 0.500 0.500
Y 0.500 0.500 0.000

Entry 3:
VASP calculation (GGA-PBE) on an optimized crystal structure of Li2YTc.

Calculated values
DFT total energy: -19.1 eV per cell
formation energy: 0.38 eV per atom
symmetry: No. 8

Lattice parameters (Å, degrees): 5.149 5.149 5.253 69.86 69.86 35.16
Last column: magnetic moment on the atom in μB.
Fractional coordinates of all 4 atoms:
Tc 0.485 0.485 0.463  0.41
Li 0.017 0.017 0.935  -0.01
Li 0.760 0.760 0.791  0.00
Y 0.238 0.238 0.311  -0.01

Entry 4:
VASP calculation (GGA-PBE) on an optimized crystal structure of LiYTc2.

Calculated values
DFT total energy: -27.9 eV per cell
formation energy: 0.30 eV per atom
symmetry: No. 10

Lattice parameters (Å, degrees): 4.739 3.223 4.600 81.23 90.00 90.00
Fractional coordinates of all 4 atoms:
Tc 0.000 0.921 0.978
Tc 0.000 0.579 0.522
Y 0.500 0.250 0.250
Li 0.500 0.750 0.750

Entry 5:
VASP calculation (GGA-PBE) on an optimized crystal structure of Li2YTc.

Calculated values
DFT total energy: -18.9 eV per cell
formation energy: 0.43 eV per atom
symmetry: No. 47

Lattice parameters (Å, degrees): 2.801 4.657 5.599 90.00 90.00 90.00
Last column: magnetic moment on the atom in μB.
Fractional coordinates of all 4 atoms:
Tc 0.500 0.500 0.250  0.08
Li 0.000 0.000 0.046  0.00
Li 0.000 0.000 0.454  0.00
Y 0.500 0.500 0.750  0.01

Entry 6:
VASP calculation (GGA-PBE) on an optimized crystal structure of Li2YTc.

Calculated values
DFT total energy: -19.4 eV per cell
formation energy: 0.31 eV per atom
symmetry: No. 47

Lattice parameters (Å, degrees): 3.255 4.524 5.235 90.00 90.00 90.00
Fractional coordinates of all 4 atoms:
Tc 0.500 0.000 0.500
Li 0.000 0.000 0.000
Li 0.500 0.500 0.000
Y 0.000 0.500 0.500

Entry 7:
VASP calculation (GGA-PBE) on an optimized crystal structure of Li2YZnTc.

Calculated values
DFT total energy: -18.3 eV per cell
formation energy: 0.73 eV per atom
symmetry: No. 123

Lattice parameters (Å, degrees): 4.390 5.551 4.390 90.00 90.00 90.00
Last column: magnetic moment on the atom in μB.
Fractional coordinates of all 5 atoms:
Y 0.000 0.500 0.000  -0.23
Tc 0.500 0.500 0.500  1.90
Zn 0.000 0.000 0.000  -0.09
Li 0.500 0.000 0.000  -0.03
Li 0.000 0.000 0.500  -0.05

Entry 8:
VASP calculation (GGA-PBE) on an optimized crystal structure of LiZnTc2.

Calculated values
DFT total energy: -23.7 eV per cell
formation energy: 0.05 eV per atom
symmetry: No. 99

Lattice parameters (Å, degrees): 3.066 3.066 6.057 90.00 90.00 90.00
Fractional coordinates of all 4 atoms:
Li 0.500 0.500 0.739
Tc 0.000 0.000 0.014
Tc 0.500 0.500 0.227
Zn 0.000 0.000 0.520

Entry 9:
VASP calculation (GGA-PBE) on an optimized crystal structure of LiZnTc.

Calculated values
DFT total energy: -11.4 eV per cell
formation energy: 0.72 eV per atom
symmetry: No. 216

Lattice parameters (Å, degrees): 4.139 4.139 4.139 60.00 60.00 60.00
Last column: magnetic moment on the atom in μB.
Fractional coordinates of all 3 atoms:
Zn 0.250 0.250 0.250  0.01
Li 0.000 0.000 0.000  -0.03
Tc 0.500 0.500 0.500  1.93

Entry 10:
VASP calculation (GGA-PBE) on an optimized crystal structure of LiZn6Tc.

Calculated values
DFT total energy: -17.2 eV per cell
formation energy: 0.34 eV per atom
symmetry: No. 166

Lattice parameters (Å, degrees): 5.185 5.185 5.185 84.37 84.37 84.37
Last column: magnetic moment on the atom in μB.
Fractional coordinates of all 8 atoms:
Tc 0.500 0.500 0.500  1.88
Zn 0.843 0.843 0.469  0.00
Zn 0.531 0.157 0.157  0.00
Zn 0.157 0.531 0.157  0.00
Zn 0.843 0.469 0.843  0.00
Zn 0.157 0.157 0.531  0.00
Zn 0.469 0.843 0.843  0.00
Li 0.000 0.000 0.000  0.01

Entry 11:
VASP calculation (GGA-PBE) on an optimized crystal structure of LiZnTc.

Calculated values
DFT total energy: -10.8 eV per cell
formation energy: 0.92 eV per atom
symmetry: No. 216

Lattice parameters (Å, degrees): 4.235 4.235 4.235 60.00 60.00 60.00
Last column: magnetic moment on the atom in μB.
Fractional coordinates of all 3 atoms:
Li 0.500 0.500 0.500  0.01
Tc 0.250 0.250 0.250  2.06
Zn 0.000 0.000 0.000  -0.01

Entry 12:
VASP calculation (GGA-PBE) on an optimized crystal structure of LiZnTc2.

Calculated values
DFT total energy: -23.3 eV per cell
formation energy: 0.16 eV per atom
symmetry: No. 71

Lattice parameters (Å, degrees): 5.089 5.089 5.089 143.78 133.34 60.46
Fractional coordinates of all 4 atoms:
Li 0.250 0.750 0.500
Zn 0.750 0.250 0.500
Tc 0.501 0.501 0.000
Tc 0.999 0.999 0.000